# PBE Mg3Hg7, relaxed
data_Mg3Hg7
_cell_length_a 9.2584
_cell_length_b 9.2584
_cell_length_c 6.5587
_cell_angle_alpha 90.00
_cell_angle_beta 90.00
_cell_angle_gamma 120.00
_symmetry_space_group_name_H-M 'P 1'
_symmetry_Int_Tables_number 1
loop_
_symmetry_equiv_pos_as_xyz
'x,y,z'
loop_
_atom_site_label
_atom_site_fract_x
_atom_site_fract_y
_atom_site_fract_z
Mg1 0.2098 0.4196 0.0000
Mg2 0.2098 0.7902 0.0000
Mg3 0.4196 0.2098 0.5000
Mg4 0.5804 0.7902 0.0000
Mg5 0.7902 0.2098 0.5000
Mg6 0.7902 0.5804 0.5000
Hg1 0.0611 0.5306 0.3153
Hg2 0.1126 0.2251 0.4184
Hg3 0.1126 0.8874 0.4184
Hg4 0.2251 0.1126 0.9184
Hg5 0.3333 0.6667 0.6573
Hg6 0.4694 0.5306 0.3153
Hg7 0.4694 0.9389 0.3153
Hg8 0.5306 0.0611 0.8153
Hg9 0.5306 0.4694 0.8153
Hg10 0.6667 0.3333 0.1573
Hg11 0.7749 0.8874 0.4184
Hg12 0.8874 0.1126 0.9184
Hg13 0.8874 0.7749 0.9184
Hg14 0.9389 0.4694 0.8153
# - Calculated formation energy: -0.09 eV per atom
# - N(E_F): 0.386 states/eV/atom